[1]
Below is a crystal of Zr2Au relaxed with PBEsol, with properties calculated at the SCAN level. Values from VASP.

Output
theoretical density: 10.65 Mg/m³
energy: -132.05 eV per formula unit
formation enthalpy at 0 K: -1.498 eV per formula unit
DOS at the Fermi energy: 2.88 states/eV/f.u.

The structure in Quantum ESPRESSO input format:
```
&SYSTEM
  ibrav = 0, nat = 6, ntyp = 2
/
ATOMIC_SPECIES
Zr 91.22 Zr.upf
Au 196.97 Au.upf
ATOMIC_POSITIONS crystal
Zr 0.0756 0.9244 0.7500
Zr 0.2449 0.7551 0.2500
Zr 0.7551 0.2449 0.7500
Zr 0.9244 0.0756 0.2500
Au 0.4190 0.5810 0.7500
Au 0.5810 0.4190 0.2500
CELL_PARAMETERS angstrom
2.0680 -6.7422 0.0000
2.0680 6.7422 0.0000
0.0000 0.0000 4.2431
```

---

[2]
Below is a crystal of ZrAu relaxed with PBEsol, with properties calculated at the SCAN level. Values from VASP.

Output
theoretical density: 12.72 Mg/m³
energy: -101.24 eV per formula unit
formation enthalpy at 0 K: -1.389 eV per formula unit
DOS at the Fermi energy: 1.73 states/eV/f.u.

The structure in Quantum ESPRESSO input format:
```
&SYSTEM
  ibrav = 0, nat = 2, ntyp = 2
/
ATOMIC_SPECIES
Zr 91.22 Zr.upf
Au 196.97 Au.upf
ATOMIC_POSITIONS crystal
Zr 0.0000 0.0000 0.0000
Au 0.5000 0.5000 0.5000
CELL_PARAMETERS angstrom
3.0259 0.0000 0.0000
0.0000 3.0259 0.0000
0.0000 0.0000 4.1078
```

---

[3]
Below is a crystal of BaBe2B2O6 relaxed with PBEsol, with properties calculated at the SCAN level. Values from VASP.

Output
theoretical density: 3.79 Mg/m³
energy: -133.34 eV per formula unit
DOS at the Fermi energy: 0.00 states/eV/f.u.
energy relative to the elements, uncorrected: -2.99 eV/atom

The structure in Quantum ESPRESSO input format:
```
&SYSTEM
  ibrav = 0, nat = 22, ntyp = 4
/
ATOMIC_SPECIES
Ba 137.33 Ba.upf
Be 9.01 Be.upf
B 10.81 B.upf
O 16.00 O.upf
ATOMIC_POSITIONS crystal
Ba 0.1250 0.1250 0.1250
Ba 0.8750 0.8750 0.8750
Be 0.2828 0.2828 0.4672
Be 0.4672 0.4672 0.2828
Be 0.5328 0.5328 0.7172
Be 0.7172 0.7172 0.5328
B 0.1594 0.5906 0.1594
B 0.4094 0.8406 0.4094
B 0.5906 0.1594 0.5906
B 0.8406 0.4094 0.8406
O 0.0309 0.3972 0.7674
O 0.2326 0.6956 0.9691
O 0.2772 0.4728 0.2772
O 0.3044 0.7674 0.3972
O 0.3972 0.0309 0.3044
O 0.4728 0.2772 0.4728
O 0.5272 0.7228 0.5272
O 0.6028 0.9691 0.6956
O 0.6956 0.2326 0.6028
O 0.7228 0.5272 0.7228
O 0.7674 0.3044 0.0309
O 0.9691 0.6028 0.2326
CELL_PARAMETERS angstrom
0.0000 5.8556 6.5149
3.1385 0.0000 6.5149
3.1385 5.8556 0.0000
```